NaAgH2: relaxed, PBE-GGA.

**ρ**: 4.17 g/cm3
**Size of the total moment**: 0.0 μB per formula unit
**E above lowest polymorph**: 0.00 kcal/mol of atoms

```
data_NaAgH2
_space_group_name_H-M_alt 'I -4 2 d'
_space_group_IT_number 122
_space_group_name_Hall 'I -4 2bw'
_cell_length_a 5.017
_cell_length_b 5.017
_cell_length_c 8.413
_cell_angle_alpha 90.00
_cell_angle_beta 90.00
_cell_angle_gamma 90.00
loop_
_atom_site_label
_atom_site_type_symbol
_atom_site_fract_x
_atom_site_fract_y
_atom_site_fract_z
_atom_site_occupancy
Na1 Na 0.000 0.000 0.000 1
Ag1 Ag 0.000 0.000 0.500 1
H1 H 0.180 0.250 0.625 1
```



AcLuAl2: relaxed, PBE-GGA.

**ρ**: 7.20 g/cm3
**Size of the total moment**: 0.0 μB per formula unit
**Energy of formation**: -0.29 eV per atom

```
data_AcLuAl2
_space_group_name_H-M_alt 'P 4/m m m'
_space_group_IT_number 123
_space_group_name_Hall '-P 4 2'
_cell_length_a 3.749
_cell_length_b 3.749
_cell_length_c 7.480
_cell_angle_alpha 90.00
_cell_angle_beta 90.00
_cell_angle_gamma 90.00
loop_
_atom_site_label
_atom_site_type_symbol
_atom_site_fract_x
_atom_site_fract_y
_atom_site_fract_z
_atom_site_occupancy
Ac1 Ac 0.000 0.000 0.000 1
Lu1 Lu 0.000 0.000 0.500 1
Al1 Al 0.500 0.500 0.293 1
```



Pm2NdDy5Th: relaxed, PBE-GGA.

**ρ**: 8.20 g/cm3
**Size of the total moment**: 0.0 μB per formula unit
**Energy of formation**: 0.16 eV per atom

```
data_Pm2NdDy5Th
_space_group_name_H-M_alt 'C m c 21'
_space_group_IT_number 36
_space_group_name_Hall 'C 2c -2'
_cell_length_a 5.659
_cell_length_b 20.162
_cell_length_c 10.500
_cell_angle_alpha 90.00
_cell_angle_beta 90.00
_cell_angle_gamma 90.00
loop_
_atom_site_label
_atom_site_type_symbol
_atom_site_fract_x
_atom_site_fract_y
_atom_site_fract_z
_atom_site_occupancy
Pm1 Pm 0.000 0.114 0.000 1
Pm2 Pm 0.000 0.116 0.410 1
Nd1 Nd 0.000 0.412 0.129 1
Dy1 Dy 0.000 0.017 0.704 1
Dy2 Dy 0.000 0.276 0.997 1
Dy3 Dy 0.000 0.298 0.389 1
Dy4 Dy 0.000 0.388 0.704 1
Dy5 Dy 0.000 0.479 0.418 1
Th1 Th 0.000 0.201 0.694 1
```



MgBiAs2: relaxed, PBE-GGA.

**ρ**: 6.59 g/cm3
**Size of the total moment**: 0.0 μB per formula unit
**E above lowest polymorph**: 0.00 kcal/mol of atoms
**Energy of formation**: -0.14 eV per atom

```
data_MgBiAs2
_space_group_name_H-M_alt 'R -3 m'
_space_group_IT_number 166
_space_group_name_Hall '-R 3 2"'
_cell_length_a 4.0743
_cell_length_b 4.0743
_cell_length_c 20.1510
_cell_angle_alpha 90.00
_cell_angle_beta 90.00
_cell_angle_gamma 120.00
loop_
_atom_site_label
_atom_site_type_symbol
_atom_site_fract_x
_atom_site_fract_y
_atom_site_fract_z
_atom_site_occupancy
Mg1 Mg 0.0000 0.0000 0.0000 1
Bi1 Bi 0.0000 0.0000 0.5000 1
As1 As 0.0000 0.0000 0.2575 1
```



Sm5Cd2Ga2: relaxed, PBE-GGA.

**ρ**: 7.31 g/cm3
**Size of the total moment**: 0.0 μB per formula unit
**Energy of formation**: -0.37 eV per atom

```
data_Sm5Cd2Ga2
_space_group_name_H-M_alt 'C m c e'
_space_group_IT_number 64
_space_group_name_Hall '-C 2ac 2'
_cell_length_a 16.779
_cell_length_b 7.813
_cell_length_c 7.733
_cell_angle_alpha 90.00
_cell_angle_beta 90.00
_cell_angle_gamma 90.00
loop_
_atom_site_label
_atom_site_type_symbol
_atom_site_fract_x
_atom_site_fract_y
_atom_site_fract_z
_atom_site_occupancy
Sm1 Sm 0.000 0.000 0.000 1
Sm2 Sm 0.130 0.188 0.320 1
Cd1 Cd 0.221 0.000 0.000 1
Ga1 Ga 0.000 0.116 0.617 1
```



K2CdHg2: relaxed, PBE-GGA.

**ρ**: 5.51 g/cm3
**Size of the total moment**: 0.0 μB per formula unit
**E above lowest polymorph**: 0.00 kcal/mol of atoms
**Energy of formation**: -0.22 eV per atom

```
data_K2CdHg2
_space_group_name_H-M_alt 'C 1 2/m 1'
_space_group_IT_number 12
_space_group_name_Hall '-C 2y'
_cell_length_a 12.488
_cell_length_b 5.193
_cell_length_c 12.391
_cell_angle_alpha 90.00
_cell_angle_beta 117.40
_cell_angle_gamma 90.00
loop_
_atom_site_label
_atom_site_type_symbol
_atom_site_fract_x
_atom_site_fract_y
_atom_site_fract_z
_atom_site_occupancy
K1 K 0.004 0.000 0.333 1
K2 K 0.196 0.000 0.113 1
Cd1 Cd 0.220 0.500 0.358 1
Hg1 Hg 0.010 0.500 0.883 1
Hg2 Hg 0.142 0.500 0.561 1
```



KCaTeI2: relaxed, PBE-GGA.

**ρ**: 3.24 g/cm3
**Size of the total moment**: 1.0 μB per formula unit
**E above lowest polymorph**: 15.89 kcal/mol of atoms

```
data_KCaTeI2
_space_group_name_H-M_alt 'P 4/m m m'
_space_group_IT_number 123
_space_group_name_Hall '-P 4 2'
_cell_length_a 6.143
_cell_length_b 6.143
_cell_length_c 6.246
_cell_angle_alpha 90.00
_cell_angle_beta 90.00
_cell_angle_gamma 90.00
loop_
_atom_site_label
_atom_site_type_symbol
_atom_site_fract_x
_atom_site_fract_y
_atom_site_fract_z
_atom_site_occupancy
K1 K 0.000 0.000 0.000 1
Ca1 Ca 0.500 0.500 0.500 1
Te1 Te 0.000 0.000 0.500 1
I1 I 0.000 0.500 0.000 1
```



ZnCrW2: relaxed, PBE-GGA.

**ρ**: 13.88 g/cm3
**Size of the total moment**: 0.5 μB per formula unit
**Energy of formation**: 0.31 eV per atom

```
data_ZnCrW2
_space_group_name_H-M_alt 'P 4/m m m'
_space_group_IT_number 123
_space_group_name_Hall '-P 4 2'
_cell_length_a 3.834
_cell_length_b 3.834
_cell_length_c 3.949
_cell_angle_alpha 90.00
_cell_angle_beta 90.00
_cell_angle_gamma 90.00
loop_
_atom_site_label
_atom_site_type_symbol
_atom_site_fract_x
_atom_site_fract_y
_atom_site_fract_z
_atom_site_occupancy
Zn1 Zn 0.000 0.000 0.000 1
Cr1 Cr 0.500 0.500 0.000 1
W1 W 0.000 0.500 0.500 1
```



- ρ of number 1 (NaAgH2)?
  4.17 g/cm3